Computed, not measured: a relaxed structure of NdSmDy2Ho2 at the GGA-PBE level of DFT.

Computed properties:
symmetry = Pnnm (58)
energy of formation from the pure elements = 277 meV/atom
size of the total moment = 0.0 Bohr magnetons per cell

a b c (Å): 3.397 6.584 17.813
angles (deg): 90.00 90.00 90.00
Sites, in units of the cell vectors:
Dy: 0.000 0.227 0.815
Dy: 0.000 0.773 0.185
Dy: 0.500 0.273 0.315
Dy: 0.500 0.727 0.685
Sm: 0.000 0.000 0.500
Sm: 0.500 0.500 0.000
Nd: 0.000 0.000 0.000
Nd: 0.500 0.500 0.500
Ho: 0.000 0.725 0.850
Ho: 0.500 0.225 0.650
Ho: 0.500 0.775 0.350
Ho: 0.000 0.275 0.150